# Li4Mn3O7 | Alexandria via LeMat-Bulk | GGA+U | optimized geometry
data_Li4Mn3O7
_chemical_formula_sum 'Li16 Mn12 O28'
_symmetry_space_group_name_H-M 'C 1 2/m 1'
_symmetry_Int_Tables_number 12
_symmetry_space_group_name_Hall '-C 2y'
_cell_length_a 20.8858
_cell_length_b 2.8777
_cell_length_c 8.8607
_cell_angle_alpha 90.00
_cell_angle_beta 101.59
_cell_angle_gamma 90.00
loop_
_atom_site_label
_atom_site_type_symbol
_atom_site_fract_x
_atom_site_fract_y
_atom_site_fract_z
_atom_site_occupancy
Li1 Li 0.0000 0.0000 0.0000 1
Li2 Li 0.0000 0.0000 0.5000 1
Li3 Li 0.0704 0.5000 0.3285 1
Li4 Li 0.1407 0.0000 0.5785 1
Li5 Li 0.2159 0.5000 0.8531 1
Mn1 Mn 0.0694 0.5000 0.7645 1
Mn2 Mn 0.1401 0.0000 0.0598 1
Mn3 Mn 0.2109 0.5000 0.3568 1
O1 O 0.0059 0.0000 0.7479 1
O2 O 0.0720 0.5000 0.5587 1
O3 O 0.0749 0.5000 0.0065 1
O4 O 0.1347 0.0000 0.8073 1
O5 O 0.1449 0.0000 0.3257 1
O6 O 0.2053 0.5000 0.0945 1
O7 O 0.2241 0.5000 0.6189 1
# Polymorph energy (0 for the lowest one): 22 kJ/mol of formula units
# Uncorrected energy: -6.402 eV/atom